Entry from the Alexandria database: crystalline TbMn5P3 at its relaxed geometry (PBE).

extended XYZ file:
```
18
Lattice="-3.2856 -0.2696 1.7794 4.4347 -1.9640 3.9476 1.1810 10.1363 3.7163" Properties=species:S:1:pos:R:3 pbc="T T T"
P 3.2291 8.0415 7.1808
Mn 0.5905 5.0682 1.8581
Tb 1.0923 6.0772 6.8811
P -0.8991 -0.1387 2.2624
P 0.8053 0.7809 5.5489
Mn 0.5962 3.0394 5.5049
Mn 2.9351 1.6799 5.6743
P -0.4275 3.9085 3.7463
Tb 1.2378 1.8255 2.5621
Mn 1.7339 4.8634 3.9384
P 1.5248 7.1219 3.8944
Mn -0.3629 8.3015 4.5310
Mn 0.0000 0.0000 0.0000
Mn 2.6930 -0.3987 4.9122
P 2.7576 3.9943 5.6970
Mn 2.1841 8.7276 5.3551
Mn 0.1460 -0.8248 4.0882
Mn -0.6051 6.2229 3.7690
```

Properties
VASP energy (eV/atom): -8.07
Magnetic moment (μB/f.u.): 4.9
DOS at the Fermi energy (states/eV per atom): 0.59
Crystal system: orthorhombic

Entry from the Alexandria database: crystalline WAuSe at its relaxed geometry (PBE).

extended XYZ file:
```
3
Lattice="-1.5677 -1.8886 1.8418 2.9078 0.7239 0.6611 -2.2442 5.5562 3.7872" Properties=species:S:1:pos:R:3 pbc="T T T"
Au -2.1628 5.3548 3.6499
W -0.0271 3.4258 3.4899
Se -0.9584 1.1672 2.9375
```

Properties
Energy relative to the lowest polymorph listed for this composition (meV/atom): 71
VASP energy (eV/atom): -6.42
Formation energy from raw total energies (eV/f.u.): 0.44
Magnetic moment (μB/f.u.): 0.0
DOS at the Fermi energy (states/eV per atom): 0.41
Crystal system: trigonal

Entry from the Alexandria database: crystalline Ag2OsBr5 at its relaxed geometry (PBE).

extended XYZ file:
```
8
Lattice="-2.1901 -1.7707 -3.9104 -5.2257 -5.1967 2.2932 -6.1673 4.3435 -1.5319" Properties=species:S:1:pos:R:3 pbc="T T T"
Br -12.4420 -1.8741 -1.3605
Br -8.6158 -4.5286 -2.2502
Br -4.7207 -1.9357 -2.6184
Br -9.6438 -0.3142 -0.6651
Br -5.8742 2.0709 -0.8705
Os -2.6388 -1.6077 -3.9348
Ag -5.7693 0.6404 -3.2614
Ag -10.4446 -0.1832 -3.2476
```

Properties
VASP energy (eV/atom): -3.25
Formation energy from raw total energies (eV/f.u.): -0.68
Magnetic moment (μB/f.u.): 0.0
DOS at the Fermi energy (states/eV per atom): 0.66
Crystal system: triclinic

Entry from the Alexandria database: crystalline SmRe2 at its relaxed geometry (PBE).

extended XYZ file:
```
12
Lattice="-1.6105 -4.8006 -2.0754 2.8238 3.5133 -3.1031 7.6272 -3.7324 2.7150" Properties=species:S:1:pos:R:3 pbc="T T T"
Sm 4.6826 -0.8910 -1.5727
Sm 1.8225 0.5087 -2.5908
Re 1.8391 -1.9714 -0.5584
Re 6.4090 -2.4197 0.6238
Re 2.4316 -2.6001 -3.0873
Sm 7.0181 -5.5285 0.1274
Sm 4.1580 -4.1288 -0.8907
Re 7.7880 -0.7040 -0.8916
Re 3.8136 -1.8662 1.3575
Re 0.0000 0.0000 0.0000
Re 1.0526 -4.3158 -1.5719
Re 7.0015 -3.0484 -1.9051
```

Properties
VASP energy (eV/atom): -9.95
Magnetic moment (μB/f.u.): 0.0
DOS at the Fermi energy (states/eV per atom): 0.60
Crystal system: hexagonal

Entry from the Alexandria database: crystalline BeSiCl3 at its relaxed geometry (PBE).

extended XYZ file:
```
5
Lattice="4.5227 0.0000 0.0000 0.0000 4.5227 0.0000 0.0000 0.0000 4.5227" Properties=species:S:1:pos:R:3 pbc="T T T"
Cl 0.0000 2.2614 0.0000
Si 2.2614 2.2614 2.2614
Cl 2.2614 0.0000 0.0000
Cl 0.0000 0.0000 2.2614
Be 0.0000 0.0000 0.0000
```

Properties
Energy relative to the lowest polymorph listed for this composition (meV/atom): 0
VASP energy (eV/atom): -3.12
Formation energy from raw total energies (eV/f.u.): -0.92
Magnetic moment (μB/f.u.): 0.8
DOS at the Fermi energy (states/eV per atom): 0.44
Crystal system: cubic

Entry from the Alexandria database: crystalline Mg2Ag2Au at its relaxed geometry (PBE).

extended XYZ file:
```
10
Lattice="-3.2957 -4.5192 4.8925 5.0297 -5.2670 -1.4770 2.0196 1.2288 2.4955" Properties=species:S:1:pos:R:3 pbc="T T T"
Mg 3.8159 -3.6627 1.0829
Ag 3.1512 -6.2250 0.5149
Mg -0.0623 -4.8948 4.8281
Au 0.8670 -4.8931 1.7077
Au 0.0000 0.0000 0.0000
Mg 2.9934 -6.7867 3.2867
Ag -1.4172 -3.5613 2.9005
Ag 0.3265 -7.2522 3.3068
Mg 0.7602 -1.7708 2.6242
Ag 1.4075 -2.5341 0.1087
```

Properties
Energy relative to the lowest polymorph listed for this composition (meV/atom): 100
VASP energy (eV/atom): -2.64
Magnetic moment (μB/f.u.): 0.0
DOS at the Fermi energy (states/eV per atom): 0.38
Crystal system: tetragonal

Entry from the Alexandria database: crystalline MgMn2Tc at its relaxed geometry (PBE).

extended XYZ file:
```
4
Lattice="2.9852 0.0000 0.0000 0.0000 2.9853 0.0000 0.0000 0.0000 6.7381" Properties=species:S:1:pos:R:3 pbc="T T T"
Mn 0.0000 0.0000 3.1663
Mg 1.4926 1.4926 5.0536
Mn 0.0000 0.0000 0.2027
Tc 1.4926 1.4926 1.6845
```

Properties
VASP energy (eV/atom): -7.38
Magnetic moment (μB/f.u.): 5.2
DOS at the Fermi energy (states/eV per atom): 0.95
Crystal system: tetragonal

Entry from the Alexandria database: crystalline Tb2CeHo4 at its relaxed geometry (PBE).

extended XYZ file:
```
7
Lattice="5.8713 0.0000 0.0000 0.0000 6.0828 0.0000 0.0000 -3.0414 6.4347" Properties=species:S:1:pos:R:3 pbc="T T T"
Ce 0.0000 3.0414 0.0000
Tb 2.9356 3.0414 5.0433
Ho 2.9356 3.0414 1.8060
Ho 0.0000 3.0414 3.8677
Ho 0.0000 0.0000 2.5669
Tb 2.9356 0.0000 1.3914
Ho 2.9356 0.0000 4.6287
```

Properties
Energy relative to the lowest polymorph listed for this composition (meV/atom): 509
VASP energy (eV/atom): -4.24
Magnetic moment (μB/f.u.): 2.3
DOS at the Fermi energy (states/eV per atom): 2.35
Crystal system: orthorhombic

Entry from the Alexandria database: crystalline CsRbNaBi at its relaxed geometry (PBE).

extended XYZ file:
```
4
Lattice="-1.8711 -2.7483 4.7805 -0.1743 -2.6909 -5.1617 6.6734 0.4095 2.8474" Properties=species:S:1:pos:R:3 pbc="T T T"
Cs 2.3749 -2.2320 3.1928
Bi 5.7095 -0.2894 2.0684
Na 4.8637 -2.9579 0.2032
Rb -0.4986 -4.1147 0.9857
```

Properties
Energy relative to the lowest polymorph listed for this composition (meV/atom): 0
VASP energy (eV/atom): -2.10
Magnetic moment (μB/f.u.): 0.0
DOS at the Fermi energy (states/eV per atom): 1.01
Crystal system: trigonal

Entry from the Alexandria database: crystalline CeGdPdRu at its relaxed geometry (PBE).

extended XYZ file:
```
4
Lattice="4.9477 0.0000 0.0000 2.4738 4.2848 0.0000 2.4738 1.4283 4.0398" Properties=species:S:1:pos:R:3 pbc="T T T"
Gd 0.0000 0.0000 0.0000
Pd 2.4738 1.4283 1.0099
Ce 4.9477 2.8565 2.0199
Ru 7.4215 4.2848 3.0298
```

Properties
VASP energy (eV/atom): -9.13
Magnetic moment (μB/f.u.): 7.4
DOS at the Fermi energy (states/eV per atom): 1.19
Crystal system: cubic

Entry from the Alexandria database: crystalline SrOs3I at its relaxed geometry (PBE).

extended XYZ file:
```
5
Lattice="-1.0472 -1.2036 4.6360 2.2935 -4.2921 -0.5963 4.2049 2.0413 1.4798" Properties=species:S:1:pos:R:3 pbc="T T T"
Os -0.5236 -0.6018 2.3180
I 0.0000 0.0000 0.0000
Sr 2.7256 -1.7272 2.7598
Os 2.1024 1.0207 0.7399
Os 1.1468 -2.1460 -0.2981
```

Properties
Energy relative to the lowest polymorph listed for this composition (meV/atom): 0
VASP energy (eV/atom): -5.35
Formation energy from raw total energies (eV/f.u.): 10.18
Magnetic moment (μB/f.u.): 0.0
DOS at the Fermi energy (states/eV per atom): 1.02
Crystal system: cubic

Entry from the Alexandria database: crystalline Pa3Ga at its relaxed geometry (PBE).

extended XYZ file:
```
4
Lattice="5.0542 0.0000 0.0000 2.5271 4.3771 0.0000 2.5271 1.4590 4.1268" Properties=species:S:1:pos:R:3 pbc="T T T"
Ga 5.0542 2.9181 2.0634
Pa 7.5814 4.3771 3.0951
Pa 2.5271 1.4590 1.0317
Pa 0.0000 0.0000 0.0000
```

Properties
Energy relative to the lowest polymorph listed for this composition (meV/atom): 190
VASP energy (eV/atom): -7.84
Magnetic moment (μB/f.u.): 0.0
DOS at the Fermi energy (states/eV per atom): 2.72
Crystal system: cubic